A plane-wave DFT calculation with PBE-GGA was carried out for an optimized crystal structure of Sn3HI.

```
data_Sn3HI
_chemical_formula_sum 'Sn3 H1 I1'
_space_group_name_H-M_alt 'P 1'
_space_group_IT_number 1
_space_group_name_Hall 'P 1'
_cell_length_a 4.983
_cell_length_b 4.983
_cell_length_c 4.983
_cell_angle_alpha 90.00
_cell_angle_beta 90.00
_cell_angle_gamma 90.00
loop_
_atom_site_label
_atom_site_type_symbol
_atom_site_fract_x
_atom_site_fract_y
_atom_site_fract_z
_atom_site_occupancy
Sn1 Sn 0.000 0.000 0.500 1
Sn2 Sn 0.000 0.500 0.000 1
Sn3 Sn 0.500 0.000 0.000 1
H1 H 0.000 0.000 0.000 1
I1 I 0.500 0.500 0.500 1
```

Values from the calculation:
symmetry = Pm-3m, No. 221
uncorrected energy = -2.98 eV per atom